Entry 1:
Entry from the Alexandria database: a geometry-optimized Nd2Ga5Ir structure (PBE).

abc: 6.3005 6.3005 6.3005
angles: 121.46 121.46 87.49
With the nearest neighbours (Å) after each atom.
Atoms (fractional coordinates):
1 Nd 0.0000 0.5000 0.5000  10 Ga 3.09-3.17
2 Nd 0.5000 0.0000 0.5000  10 Ga 3.09-3.17
3 Ga 0.0303 0.0303 0.0000  1 Ir 2.44, 4 Ga 2.73
4 Ga 0.0339 0.0339 0.5708  1 Ir 2.49, 3 Ga 2.64-2.73
5 Ga 0.0339 0.4631 0.0000  1 Ir 2.49, 3 Ga 2.64-2.73
6 Ga 0.4631 0.0339 0.0000  1 Ir 2.49, 3 Ga 2.64-2.73
7 Ga 0.4631 0.4631 0.4292  1 Ir 2.49, 3 Ga 2.64-2.73
8 Ir 0.7624 0.7624 0.0000  5 Ga 2.44-2.49

Size of the total moment (μB per cell): 0.0
Crystal system: tetragonal
Energy relative to the elements (meV per atom): -521.8

Entry 2:
Entry from the Alexandria database: a geometry-optimized Er4Bi2AsPb structure (PBE).

abc: 7.4474 4.2919 7.6879
angles: 90.00 108.81 90.00
With the nearest neighbours (Å) after each atom.
Atoms (fractional coordinates):
1 Er 0.2302 0.0000 0.2314  2 As 2.96, 1 Pb 3.08, 3 Bi 3.08-3.20
2 Er 0.2390 0.5000 0.7607  1 As 2.94, 3 Bi 3.08-3.21, 2 Pb 3.08
3 Er 0.7610 0.5000 0.2393  1 As 2.94, 3 Bi 3.08-3.21, 2 Pb 3.08
4 Er 0.7698 0.0000 0.7686  2 As 2.96, 1 Pb 3.08, 3 Bi 3.08-3.20
5 Bi 0.5000 0.0000 0.0000  6 Er 3.08
6 Bi 0.5000 0.5000 0.5000  6 Er 3.20-3.21
7 As 0.0000 0.5000 0.0000  6 Er 2.94-2.96
8 Pb 0.0000 0.0000 0.5000  6 Er 3.08

Size of the total moment (μB per cell): 0.0
Crystal system: monoclinic
Energy relative to the elements (meV per atom): -829.3

Entry 3:
Entry from the Alexandria database: a geometry-optimized ReC2 structure (PBE).

abc: 5.4804 5.4804 4.1005
angles: 102.60 102.60 29.77
With the nearest neighbours (Å) after each atom.
Atoms (fractional coordinates):
1 Re 0.0000 0.0000 0.0000  6 C 2.05-2.19
2 Re 0.7476 0.7476 0.1405  6 C 2.12-2.22
3 C 0.1624 0.1624 0.4154  1 C 1.42
4 C 0.1656 0.1656 0.7643  1 C 1.42
5 C 0.4133 0.4133 0.2874  1 C 1.39
6 C 0.4437 0.4437 0.6341  1 C 1.39

Size of the total moment (μB per cell): 0.0
Crystal system: monoclinic
Energy relative to the elements (meV per atom): 623.7

Entry 4:
Entry from the Alexandria database: a geometry-optimized Ca3FeS structure (PBE).

abc: 5.3509 5.3509 5.3509
angles: 90.00 90.00 90.00
With the nearest neighbours (Å) after each atom.
Atoms (fractional coordinates):
1 Ca 0.0000 0.0000 0.5000  2 S 2.68
2 Ca 0.0000 0.5000 0.0000  2 S 2.68
3 Ca 0.5000 0.0000 0.0000  2 S 2.68
4 Fe 0.5000 0.5000 0.5000  12 Ca 3.78
5 S 0.0000 0.0000 0.0000  6 Ca 2.68

Size of the total moment (μB per cell): 2.1
Raw formation energy (kcal/mol of atoms): -5.7
Crystal system: cubic

Entry 5:
Entry from the Alexandria database: a geometry-optimized LaThMgTc structure (PBE).

abc: 5.2365 5.2365 5.2365
angles: 60.00 60.00 60.00
With the nearest neighbours (Å) after each atom.
Atoms (fractional coordinates):
1 La 0.0000 0.0000 0.0000  4 Tc 3.21, 4 Mg 3.21
2 Th 0.5000 0.5000 0.5000  4 Mg 3.21, 4 Tc 3.21
3 Mg 0.2500 0.2500 0.2500  4 Th 3.21, 4 La 3.21
4 Tc 0.7500 0.7500 0.7500  4 Th 3.21, 4 La 3.21

Size of the total moment (μB per cell): 0.0
Crystal system: cubic
Energy relative to the elements (meV per atom): 112.1

Entry 6:
Entry from the Alexandria database: a geometry-optimized Ho4In5Ag2 structure (PBE).

abc: 7.7655 3.5209 10.0514
angles: 90.00 94.48 90.00
With the nearest neighbours (Å) after each atom.
Atoms (fractional coordinates):
1 Ho 0.1732 0.0000 0.3795  2 Ag 3.09, 8 In 3.24-3.41
2 Ho 0.2600 0.0000 0.9408  4 Ag 3.11-3.13, 6 In 3.27-3.34
3 Ho 0.7400 0.0000 0.0592  4 Ag 3.11-3.13, 6 In 3.27-3.34
4 Ho 0.8268 0.0000 0.6205  2 Ag 3.09, 8 In 3.24-3.41
5 In 0.1818 0.5000 0.6599  1 Ag 2.93, 2 In 3.05-3.16, 2 Ho 3.27
6 In 0.4433 0.5000 0.1933  1 Ag 2.95, 2 In 3.08-3.16, 2 Ho 3.27
7 In 0.5000 0.5000 0.5000  4 In 3.05-3.08, 4 Ho 3.24
8 In 0.5567 0.5000 0.8067  1 Ag 2.95, 2 In 3.08-3.16, 2 Ho 3.27
9 In 0.8182 0.5000 0.3401  1 Ag 2.93, 2 In 3.05-3.16, 2 Ho 3.27
10 Ag 0.0655 0.5000 0.1349  1 Ag 2.82, 2 In 2.93-2.95, 6 Ho 3.09-3.13
11 Ag 0.9345 0.5000 0.8651  1 Ag 2.82, 2 In 2.93-2.95, 6 Ho 3.09-3.13

Size of the total moment (μB per cell): 0.0
Crystal system: monoclinic
Energy relative to the elements (meV per atom): -377.9

Entry 7:
Entry from the Alexandria database: a geometry-optimized Sm3Au structure (PBE).

abc: 7.0160 7.0160 5.2510
angles: 90.00 90.00 120.00
With the nearest neighbours (Å) after each atom.
Atoms (fractional coordinates):
1 Sm 0.1773 0.3545 0.2500  4 Au 3.24-3.51, 6 Sm 3.29-3.40
2 Sm 0.1773 0.8227 0.2500  4 Au 3.24-3.51, 6 Sm 3.29-3.40
3 Sm 0.3545 0.1773 0.7500  4 Au 3.24-3.51, 6 Sm 3.29-3.40
4 Sm 0.6455 0.8227 0.2500  4 Au 3.24-3.51, 6 Sm 3.29-3.40
5 Sm 0.8227 0.1773 0.7500  4 Au 3.24-3.51, 6 Sm 3.29-3.40
6 Sm 0.8227 0.6455 0.7500  4 Au 3.24-3.51, 6 Sm 3.29-3.40
7 Au 0.3333 0.6667 0.7500  12 Sm 3.24-3.51
8 Au 0.6667 0.3333 0.2500  12 Sm 3.24-3.51

Size of the total moment (μB per cell): 0.0
Crystal system: hexagonal
Energy relative to the elements (meV per atom): -232.2

Entry 8:
Entry from the Alexandria database: a geometry-optimized KBeRe3 structure (PBE).

abc: 4.3686 4.3686 4.3686
angles: 90.00 90.00 90.00
With the nearest neighbours (Å) after each atom.
Atoms (fractional coordinates):
1 K 0.0000 0.0000 0.0000  12 Re 3.09
2 Be 0.5000 0.5000 0.5000  6 Re 2.18
3 Re 0.0000 0.5000 0.5000  2 Be 2.18
4 Re 0.5000 0.0000 0.5000  2 Be 2.18
5 Re 0.5000 0.5000 0.0000  2 Be 2.18

Size of the total moment (μB per cell): 0.0
Crystal system: cubic
Energy relative to the elements (meV per atom): 1749.4

Entry 9:
Entry from the Alexandria database: a geometry-optimized LiPuAlOs structure (PBE).

abc: 4.6001 4.6001 4.6001
angles: 60.00 60.00 60.00
With the nearest neighbours (Å) after each atom.
Atoms (fractional coordinates):
1 Li 0.0000 0.0000 0.0000  4 Al 2.82, 4 Pu 2.82
2 Pu 0.7500 0.7500 0.7500  4 Li 2.82, 4 Os 2.82
3 Al 0.2500 0.2500 0.2500  4 Os 2.82, 4 Li 2.82
4 Os 0.5000 0.5000 0.5000  4 Pu 2.82, 4 Al 2.82

Size of the total moment (μB per cell): 5.2
Crystal system: cubic
Energy relative to the elements (meV per atom): -83.4

Entry 10:
Entry from the Alexandria database: a geometry-optimized Tb4CdPd2Ru structure (PBE).

abc: 8.7117 8.7117 8.7117
angles: 33.58 33.58 33.58
With the nearest neighbours (Å) after each atom.
Atoms (fractional coordinates):
1 Tb 0.1163 0.1163 0.1163  1 Ru 2.86, 3 Pd 3.00, 3 Cd 3.16
2 Tb 0.3682 0.3682 0.3682  4 Pd 2.98-3.17, 3 Ru 3.03, 1 Cd 3.25
3 Tb 0.6318 0.6318 0.6318  4 Pd 2.98-3.17, 3 Ru 3.03, 1 Cd 3.25
4 Tb 0.8837 0.8837 0.8837  1 Ru 2.86, 3 Pd 3.00, 3 Cd 3.16
5 Cd 0.5000 0.5000 0.5000  8 Tb 3.16-3.25, 6 Pd 3.52
6 Pd 0.2472 0.2472 0.2472  8 Tb 2.98-3.23
7 Pd 0.7528 0.7528 0.7528  8 Tb 2.98-3.23
8 Ru 0.0000 0.0000 0.0000  8 Tb 2.86-3.03

Size of the total moment (μB per cell): 0.0
Crystal system: trigonal
Energy relative to the elements (meV per atom): -595.8

Entry 11:
Entry from the Alexandria database: a geometry-optimized CuH3Pb structure (PBE).

abc: 3.7655 3.7655 3.7655
angles: 90.00 90.00 90.00
With the nearest neighbours (Å) after each atom.
Atoms (fractional coordinates):
1 Cu 0.0000 0.0000 0.0000  6 H 1.88
2 H 0.0000 0.0000 0.5000  2 Cu 1.88
3 H 0.0000 0.5000 0.0000  2 Cu 1.88
4 H 0.5000 0.0000 0.0000  2 Cu 1.88
5 Pb 0.5000 0.5000 0.5000  12 H 2.66

Size of the total moment (μB per cell): 0.0
Final energy (eV/atom): -3.204
Crystal system: cubic

Entry 12:
Entry from the Alexandria database: a geometry-optimized PmPaCo2 structure (PBE).

abc: 4.7867 4.7867 3.3182
angles: 90.00 90.00 90.00
With the nearest neighbours (Å) after each atom.
Atoms (fractional coordinates):
1 Pm 0.0000 0.0000 0.0000  8 Co 2.91
2 Pa 0.5000 0.5000 0.0000  8 Co 2.91
3 Co 0.0000 0.5000 0.5000  4 Pa 2.91, 4 Pm 2.91
4 Co 0.5000 0.0000 0.5000  4 Pa 2.91, 4 Pm 2.91

Size of the total moment (μB per cell): 0.0
Crystal system: tetragonal
Energy relative to the elements (meV per atom): -20.9

Results for DOS(E_F): 3.269, 3.374, 1.256, 17.311, 4.906, 8.200, 9.701, 5.636, 9.481, 4.819, 1.024, 5.062 (in states/eV/cell, following the order of the records).